Co2PtO2: optimized geometry, PBE+U.

Results
The energy above the most stable polymorph in this dataset is 0.131 eV/atom. The density of states at the Fermi level comes out at 8.3 states/eV per cell. For the calculated total energy, the calculation gives -5.12 eV/atom. Its total magnetization is 5.391 μB per formula unit. The theoretical density is 7.06 g/cm³. The space group is P4/mbm, No. 127.

Cell and atoms, written as POSCAR:
```
Co2PtO2
1.0
6.8939 0.0000 0.0000
0.0000 6.8939 0.0000
0.0000 0.0000 3.4127
Co Pt O
4 2 4
Direct
0.1901 0.3099 0.0000
0.3099 0.8099 0.0000
0.6901 0.1901 0.0000
0.8099 0.6901 0.0000
0.0000 0.0000 0.0000
0.5000 0.5000 0.0000
0.1605 0.3395 0.5000
0.3395 0.8395 0.5000
0.6605 0.1605 0.5000
0.8395 0.6605 0.5000
```